Record 1
An optimized crystal structure of BeAlFeRe. Source: the Open Quantum Materials Database, functional PBE-GGA.

Output
SG: F-43m
Energy relative to the lowest polymorph listed for this composition: 0.0 kJ/mol of atoms
Total energy: -28.49 eV per cell
Magnetic moment: 1.7 μB/f.u.

a = 4.0673 Å, b = 4.0673 Å, c = 4.0673 Å
α = 60.00°, β = 60.00°, γ = 60.00°
Sites, in units of the cell vectors:
Be 0.0000 0.0000 0.0000
Al 0.2500 0.2500 0.2500
Fe 0.5000 0.5000 0.5000
Re 0.7500 0.7500 0.7500

***

Record 2
An optimized crystal structure of PrSb. Source: the Open Quantum Materials Database, functional PBE-GGA.

Output
SG: P-62m
Total energy: -66.50 eV per cell
Magnetic moment: 0.0 μB/f.u.

a = 8.1068 Å, b = 8.1068 Å, c = 6.9578 Å
α = 90.00°, β = 90.00°, γ = 120.00°
Sites, in units of the cell vectors:
Pr 0.0000 0.3341 0.0000
Pr 0.0000 0.6674 0.5000
Pr 0.3326 0.3326 0.5000
Pr 0.3341 0.0000 0.0000
Pr 0.6659 0.6659 0.0000
Pr 0.6674 0.0000 0.5000
Sb 0.0000 0.0000 0.2489
Sb 0.0000 0.0000 0.7511
Sb 0.3333 0.6667 0.2505
Sb 0.3333 0.6667 0.7495
Sb 0.6667 0.3333 0.2505
Sb 0.6667 0.3333 0.7495

***

Record 3
An optimized crystal structure of CoMoOs2. Source: the Open Quantum Materials Database, functional PBE-GGA.

Output
SG: Cmcm
Energy relative to the lowest polymorph listed for this composition: 0.0 kJ/mol of atoms
Total energy: -81.35 eV per cell
Calculated formation energy: -0.0669 eV per atom
Magnetic moment: 0.0 μB/f.u.

a = 5.3963 Å, b = 5.3963 Å, c = 4.3224 Å
α = 90.00°, β = 90.00°, γ = 119.69°
Sites, in units of the cell vectors:
Co 0.1655 0.8345 0.7500
Co 0.8345 0.1655 0.2500
Mo 0.3317 0.6683 0.2500
Mo 0.6683 0.3317 0.7500
Os 0.1626 0.3277 0.7500
Os 0.3277 0.1626 0.2500
Os 0.6723 0.8374 0.7500
Os 0.8374 0.6723 0.2500

***

Record 4
An optimized crystal structure of DyEr2Tl2Cd4. Source: the Open Quantum Materials Database, functional PBE-GGA.

Output
SG: Amm2
Total energy: -24.84 eV per cell
Magnetic moment: 0.0 μB/f.u.

a = 4.5522 Å, b = 7.5389 Å, c = 7.5389 Å
α = 120.19°, β = 90.00°, γ = 90.00°
Sites, in units of the cell vectors:
Dy 0.0000 0.0000 0.0000
Er 0.0000 0.4277 0.8559
Er 0.0000 0.8559 0.4277
Tl 0.5000 0.0953 0.7606
Tl 0.5000 0.7606 0.0953
Cd 0.0000 0.4300 0.4300
Cd 0.5000 0.1886 0.4280
Cd 0.5000 0.4280 0.1886
Cd 0.5000 0.6685 0.6685

***

Record 5
An optimized crystal structure of SmHfTc. Source: the Open Quantum Materials Database, functional PBE-GGA.

Output
SG: F-43m
Total energy: -21.37 eV per cell
Calculated formation energy: 1.2193 eV per atom
Magnetic moment: 0.0 μB/f.u.

a = 4.6450 Å, b = 4.6450 Å, c = 4.6450 Å
α = 60.00°, β = 60.00°, γ = 60.00°
Sites, in units of the cell vectors:
Sm 0.0000 0.0000 0.0000
Hf 0.7500 0.7500 0.7500
Tc 0.2500 0.2500 0.2500

***

Record 6
An optimized crystal structure of LiErNO. Source: the Open Quantum Materials Database, functional PBE-GGA.

Output
SG: P4/nmm
Energy relative to the lowest polymorph listed for this composition: 17.2 kJ/mol of atoms
Total energy: -51.12 eV per cell
Magnetic moment: 1.0 μB/f.u.

a = 3.6464 Å, b = 3.6464 Å, c = 7.1009 Å
α = 90.00°, β = 90.00°, γ = 90.00°
Sites, in units of the cell vectors:
Li 0.2500 0.7500 0.0000
Li 0.7500 0.2500 0.0000
Er 0.2500 0.2500 0.3349
Er 0.7500 0.7500 0.6651
N 0.2500 0.2500 0.8667
N 0.7500 0.7500 0.1333
O 0.2500 0.7500 0.5000
O 0.7500 0.2500 0.5000